No. 1
# CaTiZn GGA-PBE relaxed
data_CaTiZn
_chemical_formula_sum 'Ca2 Ti2 Zn2'
_cell_length_a 5.949
_cell_length_b 5.949
_cell_length_c 7.647
_cell_angle_alpha 107.83
_cell_angle_beta 107.83
_cell_angle_gamma 31.11
_symmetry_space_group_name_H-M 'P 1'
_symmetry_Int_Tables_number 1
_symmetry_space_group_name_Hall 'P 1'
loop_
_atom_site_label
_atom_site_type_symbol
_atom_site_fract_x
_atom_site_fract_y
_atom_site_fract_z
Ca1 Ca 0.004 0.004 0.243
Ca2 Ca 0.996 0.996 0.757
Ti1 Ti 0.297 0.297 0.396
Ti2 Ti 0.703 0.703 0.604
Zn1 Zn 0.301 0.301 0.909
Zn2 Zn 0.699 0.699 0.091
# Relative energy among the computed polymorphs in eV/f.u.: 0.10


No. 2
The following is a DFT calculation (GGA-PBE) of CaTiZn2 after structural relaxation.

```
data_CaTiZn2
_chemical_formula_sum 'Ca1 Ti1 Zn2'
_cell_length_a 3.350
_cell_length_b 3.350
_cell_length_c 6.930
_cell_angle_alpha 90.00
_cell_angle_beta 90.00
_cell_angle_gamma 90.00
_symmetry_space_group_name_H-M 'P 1'
_symmetry_Int_Tables_number 1
_symmetry_space_group_name_Hall 'P 1'
loop_
_atom_site_label
_atom_site_type_symbol
_atom_site_fract_x
_atom_site_fract_y
_atom_site_fract_z
Ca1 Ca 0.000 0.000 0.000
Ti1 Ti 0.000 0.000 0.500
Zn1 Zn 0.500 0.500 0.299
Zn2 Zn 0.500 0.500 0.701
```


Number 1: N(E_F) 1.3204 states/eV per atom, E_tot -21.55 eV for the cell shown, formation energy from the elements 132 meV per atom. Number 2: N(E_F) 0.5724 states/eV per atom, E_tot -12.96 eV for the cell shown, formation energy from the elements -128 meV per atom.